No. 1
# Pr2BiSbO8, relaxed, DFT GGA-PBE
# Symmetry: C2/m
# Uncorrected formation energy in eV per atom: -1.994
# Final energy in eV/atom: -6.76
# Mass density in g/cm³: 6.64
data_Pr2BiSbO8
_space_group_name_H-M_alt 'P 1'
_space_group_IT_number 1
_space_group_name_Hall 'P 1'
_cell_length_a 5.172
_cell_length_b 5.172
_cell_length_c 6.932
_cell_angle_alpha 89.85
_cell_angle_beta 89.84
_cell_angle_gamma 93.07
loop_
_atom_site_label
_atom_site_type_symbol
_atom_site_fract_x
_atom_site_fract_y
_atom_site_fract_z
Pr1 Pr 0.467 0.467 0.756
Pr2 Pr 0.533 0.533 0.244
Bi1 Bi 0.000 0.000 0.500
Sb1 Sb 0.000 0.000 0.000
O1 O 0.152 0.800 0.235
O2 O 0.725 0.725 0.972
O3 O 0.800 0.153 0.235
O4 O 0.848 0.200 0.765
O5 O 0.275 0.275 0.028
O6 O 0.200 0.847 0.765
O7 O 0.709 0.710 0.524
O8 O 0.291 0.290 0.476


No. 2
# Tb3NdHo12, relaxed, DFT GGA-PBE
# Symmetry: P4/mmm
# D(E_F) in states/eV/cell: 20.96
# Final energy in eV/atom: -4.58
# Mass density in g/cm³: 8.61
data_Tb3NdHo12
_space_group_name_H-M_alt 'P 1'
_space_group_IT_number 1
_space_group_name_Hall 'P 1'
_cell_length_a 5.006
_cell_length_b 5.006
_cell_length_c 20.024
_cell_angle_alpha 90.00
_cell_angle_beta 90.00
_cell_angle_gamma 90.00
loop_
_atom_site_label
_atom_site_type_symbol
_atom_site_fract_x
_atom_site_fract_y
_atom_site_fract_z
Tb1 Tb 0.000 0.000 0.251
Tb2 Tb 0.000 0.000 0.500
Tb3 Tb 0.000 0.000 0.749
Nd1 Nd 0.000 0.000 0.000
Ho1 Ho 0.500 0.500 0.000
Ho2 Ho 0.500 0.500 0.251
Ho3 Ho 0.500 0.500 0.500
Ho4 Ho 0.500 0.500 0.749
Ho5 Ho 0.500 0.000 0.126
Ho6 Ho 0.500 0.000 0.375
Ho7 Ho 0.500 0.000 0.625
Ho8 Ho 0.500 0.000 0.874
Ho9 Ho 0.000 0.500 0.126
Ho10 Ho 0.000 0.500 0.375
Ho11 Ho 0.000 0.500 0.625
Ho12 Ho 0.000 0.500 0.874


No. 3
# Ac12PrRu7, relaxed, DFT GGA-PBE
# Symmetry: R-3
# D(E_F) in states/eV/cell: 10.54
# Final energy in eV/atom: -6.10
# Mass density in g/cm³: 8.69
data_Ac12PrRu7
_space_group_name_H-M_alt 'P 1'
_space_group_IT_number 1
_space_group_name_Hall 'P 1'
_cell_length_a 9.379
_cell_length_b 9.379
_cell_length_c 9.379
_cell_angle_alpha 107.24
_cell_angle_beta 107.24
_cell_angle_gamma 107.24
loop_
_atom_site_label
_atom_site_type_symbol
_atom_site_fract_x
_atom_site_fract_y
_atom_site_fract_z
Ac1 Ac 0.927 0.314 0.779
Ac2 Ac 0.686 0.221 0.073
Ac3 Ac 0.452 0.156 0.377
Ac4 Ac 0.844 0.623 0.548
Ac5 Ac 0.221 0.073 0.686
Ac6 Ac 0.623 0.548 0.844
Ac7 Ac 0.377 0.452 0.156
Ac8 Ac 0.779 0.927 0.314
Ac9 Ac 0.156 0.377 0.452
Ac10 Ac 0.548 0.844 0.623
Ac11 Ac 0.314 0.779 0.927
Ac12 Ac 0.073 0.686 0.221
Pr1 Pr 0.000 0.000 0.000
Ru1 Ru 0.981 0.643 0.871
Ru2 Ru 0.357 0.129 0.019
Ru3 Ru 0.129 0.019 0.357
Ru4 Ru 0.500 0.500 0.500
Ru5 Ru 0.871 0.981 0.643
Ru6 Ru 0.643 0.871 0.981
Ru7 Ru 0.019 0.357 0.129